Here is a PBEsol-optimized structure of Ba2FeBrO3 from Alexandria. Energies are from meta-GGA SCAN.

N(E_F)   0.87 states/eV per cell
ΔE_f (raw)   -233 kJ/mol of atoms
VASP energy   -21.76 eV/atom

a = 4.0496 Å, b = 4.0496 Å, c = 15.8253 Å
α = 90.00°, β = 90.00°, γ = 90.00°
Last column: nearest neighbours and their distance in Å.
Fractional positions:
Ba (0.5000, 0.0000, 0.0937)  9 O 2.72-2.87
Ba (0.0000, 0.5000, 0.6701)  4 O 2.71
Ba (0.5000, 0.0000, 0.3299)  4 O 2.71
Ba (0.0000, 0.5000, 0.9063)  9 O 2.72-2.87
Br (0.0000, 0.5000, 0.4227)  4 Ba 3.22, 1 Fe 3.58
Br (0.5000, 0.0000, 0.5773)  4 Ba 3.22, 1 Fe 3.58
O (0.0000, 0.0000, 0.7838)  2 Fe 2.05
O (0.5000, 0.5000, 0.2162)  2 Fe 2.05
O (0.5000, 0.5000, 0.7838)  2 Fe 2.05
O (0.5000, 0.0000, 0.9219)  1 Fe 1.87
O (0.0000, 0.5000, 0.0781)  1 Fe 1.87
O (0.0000, 0.0000, 0.2162)  2 Fe 2.05
Fe (0.0000, 0.5000, 0.1965)  5 O 1.87-2.05
Fe (0.5000, 0.0000, 0.8035)  5 O 1.87-2.05


Here is a PBEsol-optimized structure of BaGaRu2Br from Alexandria. Energies are from meta-GGA SCAN.

N(E_F)   3.80 states/eV per cell
ΔE_f (raw)   37 kJ/mol of atoms
VASP energy   -28.61 eV/atom

a = 4.6096 Å, b = 4.6096 Å, c = 6.2882 Å
α = 90.00°, β = 90.00°, γ = 90.00°
Last column: nearest neighbours and their distance in Å.
Fractional positions:
Ru (0.5000, 0.0000, 0.0000)  2 Ga 2.30
Ru (0.0000, 0.5000, 0.0000)  2 Ga 2.30
Ga (0.0000, 0.0000, 0.0000)  4 Ru 2.30
Br (0.5000, 0.5000, 0.5000)  4 Ba 3.26
Ba (0.0000, 0.0000, 0.5000)  2 Ga 3.14, 4 Br 3.26


Here is a PBEsol-optimized structure of Ba3GaS4Br from Alexandria. Energies are from meta-GGA SCAN.

N(E_F)   0.00 states/eV per cell
ΔE_f (raw)   -198 kJ/mol of atoms
VASP energy   -23.49 eV/atom

a = 8.4069 Å, b = 9.6064 Å, c = 12.3148 Å
α = 90.00°, β = 90.00°, γ = 90.00°
Last column: nearest neighbours and their distance in Å.
Fractional positions:
Ga (0.3099, 0.2500, 0.1062)  4 S 2.24-2.27
Ga (0.8099, 0.7500, 0.3938)  4 S 2.24-2.27
Ga (0.1901, 0.2500, 0.6062)  4 S 2.24-2.27
Ga (0.6901, 0.7500, 0.8938)  4 S 2.24-2.27
S (0.3125, 0.0480, 0.5718)  1 Ga 2.24
S (0.5374, 0.2500, 0.0069)  1 Ga 2.27
S (0.3125, 0.4520, 0.5718)  1 Ga 2.24
S (0.3580, 0.2500, 0.2871)  1 Ga 2.26
S (0.8125, 0.5480, 0.9282)  1 Ga 2.24
S (0.8125, 0.9520, 0.9282)  1 Ga 2.24
S (0.6875, 0.5480, 0.4282)  1 Ga 2.24
S (0.6875, 0.9520, 0.4282)  1 Ga 2.24
S (0.6420, 0.7500, 0.7129)  1 Ga 2.26
S (0.1875, 0.0480, 0.0718)  1 Ga 2.24
S (0.9626, 0.2500, 0.5069)  1 Ga 2.27
S (0.1875, 0.4520, 0.0718)  1 Ga 2.24
S (0.0374, 0.7500, 0.4931)  1 Ga 2.27
S (0.4626, 0.7500, 0.9931)  1 Ga 2.27
S (0.1420, 0.2500, 0.7871)  1 Ga 2.26
S (0.8580, 0.7500, 0.2129)  1 Ga 2.26
Ba (0.0856, 0.0198, 0.3360)  7 S 3.22-3.59, 2 Br 3.34-3.41, 1 Ga 3.55
Ba (0.9144, 0.9802, 0.6640)  7 S 3.22-3.59, 2 Br 3.34-3.41, 1 Ga 3.55
Ba (0.4167, 0.7500, 0.5236)  6 S 3.00-3.21, 1 Br 3.25
Ba (0.5856, 0.5198, 0.1640)  7 S 3.22-3.59, 2 Br 3.34-3.41, 1 Ga 3.55
Ba (0.0856, 0.4802, 0.3360)  7 S 3.22-3.59, 2 Br 3.34-3.41, 1 Ga 3.55
Ba (0.4144, 0.4802, 0.8360)  7 S 3.22-3.59, 2 Br 3.34-3.41, 1 Ga 3.55
Ba (0.9144, 0.5198, 0.6640)  7 S 3.22-3.59, 2 Br 3.34-3.41, 1 Ga 3.55
Ba (0.4144, 0.0198, 0.8360)  7 S 3.22-3.59, 2 Br 3.34-3.41, 1 Ga 3.55
Ba (0.5856, 0.9802, 0.1640)  7 S 3.22-3.59, 2 Br 3.34-3.41, 1 Ga 3.55
Ba (0.9167, 0.2500, 0.9764)  6 S 3.00-3.21, 1 Br 3.25
Ba (0.5833, 0.2500, 0.4764)  6 S 3.00-3.21, 1 Br 3.25
Ba (0.0833, 0.7500, 0.0236)  6 S 3.00-3.21, 1 Br 3.25
Br (0.8281, 0.2500, 0.2337)  6 Ba 3.25-3.63, 1 S 3.55
Br (0.3281, 0.7500, 0.2663)  6 Ba 3.25-3.63, 1 S 3.55
Br (0.6719, 0.2500, 0.7337)  6 Ba 3.25-3.63, 1 S 3.55
Br (0.1719, 0.7500, 0.7663)  6 Ba 3.25-3.63, 1 S 3.55


Here is a PBEsol-optimized structure of BaGe3Br from Alexandria. Energies are from meta-GGA SCAN.

N(E_F)   9.48 states/eV per cell
ΔE_f (raw)   132 kJ/mol of atoms
VASP energy   -21.89 eV/atom

a = 5.8360 Å, b = 5.8360 Å, c = 5.8360 Å
α = 90.00°, β = 90.00°, γ = 90.00°
Last column: nearest neighbours and their distance in Å.
Fractional positions:
Ba (0.0000, 0.0000, 0.0000)  6 Ge 2.92
Br (0.5000, 0.5000, 0.5000)  12 Ge 4.13
Ge (0.0000, 0.5000, 0.0000)  2 Ba 2.92
Ge (0.0000, 0.0000, 0.5000)  2 Ba 2.92
Ge (0.5000, 0.0000, 0.0000)  2 Ba 2.92


Here is a PBEsol-optimized structure of Ba4Ge2PbSe8Br2 from Alexandria. Energies are from meta-GGA SCAN.

ΔE_f (raw)   -141 kJ/mol of atoms
VASP energy   -29.21 eV/atom

a = 8.8974 Å, b = 9.4906 Å, c = 12.3637 Å
α = 90.00°, β = 90.00°, γ = 90.00°
Last column: nearest neighbours and their distance in Å.
Fractional positions:
Ge (0.6916, 0.5000, 0.1447)  4 Se 2.35-2.36
Ge (0.1916, 0.0000, 0.8553)  4 Se 2.35-2.36
Ge (0.3030, 0.0000, 0.3410)  4 Se 2.33-2.44
Ge (0.8030, 0.5000, 0.6590)  4 Se 2.33-2.44
Se (0.7081, 0.2732, 0.6830)  1 Ge 2.33
Se (0.3267, 0.2063, 0.8102)  1 Ge 2.36
Se (0.2081, 0.2268, 0.3170)  1 Ge 2.33
Se (0.1246, 0.0000, 0.0403)  1 Ge 2.36
Se (0.8597, 0.5000, 0.4662)  1 Ge 2.44
Se (0.2081, 0.7732, 0.3170)  1 Ge 2.33
Se (0.5326, 0.0000, 0.2451)  1 Ge 2.36
Se (0.4695, 0.5000, 0.2479)  1 Ge 2.35
Se (0.9695, 0.0000, 0.7521)  1 Ge 2.35
Se (0.0326, 0.5000, 0.7549)  1 Ge 2.36
Se (0.6246, 0.5000, 0.9597)  1 Ge 2.36
Se (0.7081, 0.7268, 0.6830)  1 Ge 2.33
Se (0.3267, 0.7937, 0.8102)  1 Ge 2.36
Se (0.8267, 0.2937, 0.1898)  1 Ge 2.36
Se (0.8267, 0.7063, 0.1898)  1 Ge 2.36
Se (0.3597, 0.0000, 0.5338)  1 Ge 2.44
Br (0.1463, 0.5000, 0.0260)  1 Pb 3.06, 2 Ba 3.38
Br (0.6463, 0.0000, 0.9740)  1 Pb 3.06, 2 Ba 3.38
Br (0.8525, 0.0000, 0.4641)  4 Ba 3.41-3.42, 1 Se 3.71
Br (0.3525, 0.5000, 0.5359)  4 Ba 3.41-3.42, 1 Se 3.71
Ba (0.8963, 0.2590, 0.9225)  6 Se 3.30-3.51, 2 Br 3.38-3.44, 1 Ge 3.69
Ba (0.3963, 0.2410, 0.0775)  6 Se 3.30-3.51, 2 Br 3.38-3.44, 1 Ge 3.69
Ba (0.8963, 0.7410, 0.9225)  6 Se 3.30-3.51, 2 Br 3.38-3.44, 1 Ge 3.69
Ba (0.0903, 0.7573, 0.5757)  7 Se 3.34-3.66, 2 Br 3.41-3.42, 1 Ge 3.68
Ba (0.0903, 0.2427, 0.5757)  7 Se 3.34-3.66, 2 Br 3.41-3.42, 1 Ge 3.68
Ba (0.5903, 0.2573, 0.4243)  7 Se 3.34-3.66, 2 Br 3.41-3.42, 1 Ge 3.68
Ba (0.5903, 0.7427, 0.4243)  7 Se 3.34-3.66, 2 Br 3.41-3.42, 1 Ge 3.68
Ba (0.3963, 0.7590, 0.0775)  6 Se 3.30-3.51, 2 Br 3.38-3.44, 1 Ge 3.69
Pb (0.0430, 0.5000, 0.2619)  5 Se 2.89-3.06, 1 Br 3.06
Pb (0.5430, 0.0000, 0.7381)  5 Se 2.89-3.06, 1 Br 3.06


Here is a PBEsol-optimized structure of Ba2GeSBr from Alexandria. Energies are from meta-GGA SCAN.

N(E_F)   2.75 states/eV per cell
ΔE_f (raw)   -63 kJ/mol of atoms
VASP energy   -26.11 eV/atom

a = 4.9002 Å, b = 6.0938 Å, c = 6.0938 Å
α = 90.00°, β = 90.00°, γ = 90.00°
Last column: nearest neighbours and their distance in Å.
Fractional positions:
S (0.5000, 0.5000, 0.5000)  8 Ba 3.91, 4 Ge 4.31
Ba (0.0000, 0.0000, 0.5000)  2 Br 3.05
Ba (0.0000, 0.5000, 0.0000)  2 Br 3.05
Br (0.0000, 0.0000, 0.0000)  2 Ge 2.45
Ge (0.5000, 0.0000, 0.0000)  2 Br 2.45


Here is a PBEsol-optimized structure of Ba4SnGe2S8Br2 from Alexandria. Energies are from meta-GGA SCAN.

N(E_F)   0.00 states/eV per cell
ΔE_f (raw)   -148 kJ/mol of atoms
VASP energy   -22.02 eV/atom

a = 8.7507 Å, b = 9.1350 Å, c = 11.8769 Å
α = 90.00°, β = 90.00°, γ = 90.00°
Last column: nearest neighbours and their distance in Å.
Fractional positions:
Ge (0.1947, 0.0000, 0.1503)  4 S 2.20-2.22
Ge (0.7974, 0.5000, 0.3398)  4 S 2.20-2.32
Ge (0.6947, 0.5000, 0.8497)  4 S 2.20-2.22
Ge (0.2974, 0.0000, 0.6602)  4 S 2.20-2.32
S (0.8611, 0.5000, 0.5292)  1 Ge 2.32
S (0.3611, 0.0000, 0.4708)  1 Ge 2.32
S (0.8314, 0.3036, 0.8053)  1 Ge 2.22
S (0.2059, 0.7780, 0.6838)  1 Ge 2.20
S (0.7059, 0.7220, 0.3162)  1 Ge 2.20
S (0.5180, 0.0000, 0.7538)  1 Ge 2.23
S (0.2059, 0.2220, 0.6838)  1 Ge 2.20
S (0.9806, 0.0000, 0.2476)  1 Ge 2.20
S (0.3314, 0.1964, 0.1947)  1 Ge 2.22
S (0.1294, 0.0000, 0.9703)  1 Ge 2.21
S (0.8314, 0.6964, 0.8053)  1 Ge 2.22
S (0.4806, 0.5000, 0.7524)  1 Ge 2.20
S (0.0180, 0.5000, 0.2462)  1 Ge 2.23
S (0.3314, 0.8036, 0.1947)  1 Ge 2.22
S (0.6294, 0.5000, 0.0297)  1 Ge 2.21
S (0.7059, 0.2780, 0.3162)  1 Ge 2.20
Br (0.6398, 0.0000, 0.0280)  1 Sn 3.05, 4 Ba 3.27-3.36
Br (0.3589, 0.5000, 0.4561)  4 Ba 3.32-3.35, 1 S 3.68
Br (0.8589, 0.0000, 0.5439)  4 Ba 3.32-3.35, 1 S 3.68
Br (0.1398, 0.5000, 0.9720)  1 Sn 3.05, 4 Ba 3.27-3.36
Ba (0.3900, 0.2422, 0.9216)  6 S 3.18-3.40, 2 Br 3.27-3.36
Ba (0.0944, 0.2436, 0.4238)  6 S 3.21-3.45, 2 Br 3.32-3.35
Ba (0.5944, 0.2564, 0.5762)  6 S 3.21-3.45, 2 Br 3.32-3.35
Ba (0.5944, 0.7436, 0.5762)  6 S 3.21-3.45, 2 Br 3.32-3.35
Ba (0.3900, 0.7578, 0.9216)  6 S 3.18-3.40, 2 Br 3.27-3.36
Ba (0.8900, 0.7422, 0.0784)  6 S 3.18-3.40, 2 Br 3.27-3.36
Ba (0.8900, 0.2578, 0.0784)  6 S 3.18-3.40, 2 Br 3.27-3.36
Ba (0.0944, 0.7564, 0.4238)  6 S 3.21-3.45, 2 Br 3.32-3.35
Sn (0.0315, 0.5000, 0.7276)  3 S 2.67-2.79
Sn (0.5315, 0.0000, 0.2724)  3 S 2.67-2.79


Here is a PBEsol-optimized structure of Ba2GeSeBr from Alexandria. Energies are from meta-GGA SCAN.

N(E_F)   1.73 states/eV per cell
ΔE_f (raw)   -85 kJ/mol of atoms
VASP energy   -28.43 eV/atom

a = 5.0416 Å, b = 6.1711 Å, c = 6.1711 Å
α = 90.00°, β = 90.00°, γ = 90.00°
Last column: nearest neighbours and their distance in Å.
Fractional positions:
Br (0.5000, 0.0000, 0.0000)  2 Ge 2.52
Ge (0.0000, 0.0000, 0.0000)  2 Br 2.52
Ba (0.0000, 0.0000, 0.5000)  2 Ge 3.09
Ba (0.0000, 0.5000, 0.0000)  2 Ge 3.09
Se (0.5000, 0.5000, 0.5000)  8 Ba 3.98, 4 Br 4.36